# 1
Density functional theory data (GGA-PBE) for crystalline Ce2VCd at its relaxed geometry.

Summary:
Calculated density: 8.56 g cm⁻³
Magnetic moment: 0.009 μB/cell
Space-group type: R-3m, No. 166
VASP energy: -5.161 eV/atom
Formation energy from the elements: 314 meV/atom

a b c (Å): 2.990 2.990 11.249
angles (deg): 82.36 82.36 60.00
Fractional coordinates of all 4 atoms:
V 0.000 0.000 0.000
Ce 0.077 0.077 0.770
Ce 0.923 0.923 0.230
Cd 0.500 0.500 0.500

---

# 2
Density functional theory data (GGA-PBE) for crystalline CeYCd6 at its relaxed geometry.

Summary:
Calculated density: 7.65 g cm⁻³
Magnetic moment: 0.960 μB/cell
Space-group type: Amm2, No. 38
VASP energy: -2.475 eV/atom
Formation energy from the elements: -239 meV/atom

a b c (Å): 4.937 6.628 6.628
angles (deg): 115.33 90.00 90.00
Each line ends with the local moment (μB).
Fractional coordinates of all 8 atoms:
Ce 0.000 0.107 0.893  0.82
Y 0.500 0.393 0.607  -0.01
Cd 0.000 0.059 0.377  0.01
Cd 0.000 0.623 0.941  0.01
Cd 0.000 0.578 0.422  0.00
Cd 0.500 0.441 0.122  0.00
Cd 0.500 0.878 0.559  0.00
Cd 0.500 0.920 0.080  0.00

---

# 3
Density functional theory data (GGA-PBE) for crystalline Ce2YCd8 at its relaxed geometry.

Summary:
Calculated density: 7.57 g cm⁻³
Magnetic moment: 1.586 μB/cell
Space-group type: C2/m, No. 12
VASP energy: -2.510 eV/atom
Formation energy from the elements: -178 meV/atom

a b c (Å): 5.361 6.534 8.997
angles (deg): 111.31 107.35 89.96
Each line ends with the local moment (μB).
Fractional coordinates of all 11 atoms:
Ce 0.690 0.690 0.381  0.74
Ce 0.310 0.310 0.619  0.74
Y 0.500 0.000 0.000  0.00
Cd 0.127 0.351 0.250  0.00
Cd 0.877 0.101 0.750  0.00
Cd 0.748 0.495 0.000  0.00
Cd 0.699 0.199 0.398  0.00
Cd 0.301 0.801 0.602  0.00
Cd 0.252 0.505 0.000  0.00
Cd 0.123 0.899 0.250  0.00
Cd 0.873 0.649 0.750  0.00

---

# 4
Density functional theory data (GGA-PBE) for crystalline Ce2YCd4 at its relaxed geometry.

Summary:
Calculated density: 6.68 g cm⁻³
Magnetic moment: 2.560 μB/cell
Space-group type: I4/mmm, No. 139
VASP energy: -3.202 eV/atom
Formation energy from the elements: -60 meV/atom

a b c (Å): 5.247 5.247 8.272
angles (deg): 108.49 108.49 90.00
Each line ends with the local moment (μB).
Fractional coordinates of all 7 atoms:
Ce 0.742 0.742 0.484  0.99
Ce 0.258 0.258 0.516  0.99
Y 0.000 0.000 0.000  -0.04
Cd 0.390 0.890 0.780  0.01
Cd 0.890 0.390 0.780  0.01
Cd 0.610 0.110 0.220  0.01
Cd 0.110 0.610 0.220  0.01

---

# 5
Density functional theory data (GGA-PBE) for crystalline CeY2Cd at its relaxed geometry.

Summary:
Calculated density: 6.27 g cm⁻³
Magnetic moment: 0.672 μB/cell
Space-group type: P4/mmm, No. 123
VASP energy: -5.060 eV/atom
Formation energy from the elements: -116 meV/atom

a b c (Å): 3.583 3.583 8.879
angles (deg): 90.00 90.00 90.00
Each line ends with the local moment (μB).
Fractional coordinates of all 4 atoms:
Y 0.000 0.000 0.770  0.01
Y 0.000 0.000 0.230  0.01
Ce 0.500 0.500 0.500  0.50
Cd 0.500 0.500 0.000  0.00

---

# 6
Density functional theory data (GGA-PBE) for crystalline CeYCd2 at its relaxed geometry.

Summary:
Calculated density: 7.00 g cm⁻³
Magnetic moment: 1.372 μB/cell
Space-group type: P4/mmm, No. 123
VASP energy: -3.737 eV/atom
Formation energy from the elements: -180 meV/atom

a b c (Å): 4.437 4.925 4.925
angles (deg): 90.00 90.00 90.00
Each line ends with the local moment (μB).
Fractional coordinates of all 4 atoms:
Y 0.500 0.000 0.000  0.12
Ce 0.500 0.500 0.500  0.87
Cd 0.000 0.000 0.500  0.01
Cd 0.000 0.500 0.000  0.01